Record 1
Entry from Alexandria: an optimized crystal structure of TiFeSCl2 (PBEsol).

Output
Total magnetization, Bohr magnetons per cell: 3.716
Crystal system: tetragonal
Space group: P4/mmm
E_form (uncorrected), eV/atom: -0.198

Cell lengths 4.6385, 4.6385, 4.7478 Å; angles 90.00, 90.00, 90.00 degrees
Positions (direct):
S 0.0000 0.0000 0.5000
Cl 0.0000 0.5000 0.0000
Cl 0.5000 0.0000 0.0000
Fe 0.5000 0.5000 0.5000
Ti 0.0000 0.0000 0.0000



Record 2
Entry from Alexandria: an optimized crystal structure of CrInW2 (PBEsol).

Output
Total magnetization, Bohr magnetons per cell: 0.936
Crystal system: orthorhombic
E_tot, eV for the cell shown: -39.40
Space group: Immm

Cell lengths 3.1431, 4.4072, 5.2327 Å; angles 114.91, 107.48, 90.00 degrees
Positions (direct):
Cr 0.5000 0.0000 0.0000
In 0.0000 0.5000 0.0000
W 0.7674 0.7674 0.5348
W 0.2326 0.2326 0.4652



Record 3
Entry from Alexandria: an optimized crystal structure of Ca3TlZn (PBEsol).

Output
Total magnetization, Bohr magnetons per cell: 0.001
Crystal system: cubic
E_tot, eV for the cell shown: -9.71
Space group: Pm-3m

Cell lengths 5.8831, 5.8831, 5.8831 Å; angles 90.00, 90.00, 90.00 degrees
Positions (direct):
Tl 0.0000 0.0000 0.0000
Ca 0.0000 0.5000 0.0000
Ca 0.0000 0.0000 0.5000
Ca 0.5000 0.0000 0.0000
Zn 0.5000 0.5000 0.5000



Record 4
Entry from Alexandria: an optimized crystal structure of Ba2InPb (PBEsol).

Output
Total magnetization, Bohr magnetons per cell: 0.000
Energy relative to the lowest polymorph listed for this composition, meV/atom: 37.9
Crystal system: orthorhombic
Space group: Imm2

Cell lengths 4.5065, 5.5933, 6.7115 Å; angles 114.63, 109.62, 90.00 degrees
Positions (direct):
Pb 0.7889 0.2889 0.5778
Ba 0.0236 0.0236 0.0472
Ba 0.2263 0.7263 0.4525
In 0.4612 0.4612 0.9225



Record 5
Entry from Alexandria: an optimized crystal structure of Co6SiIr (PBEsol).

Output
Total magnetization, Bohr magnetons per cell: 10.057
Crystal system: orthorhombic
Space group: Cmmm
E_form (uncorrected), eV/atom: -0.143

Cell lengths 6.0407, 6.0407, 9.8738 Å; angles 90.00, 90.00, 109.57 degrees
Positions (direct):
Co 0.2511 0.7489 0.7532
Co 0.8732 0.6226 0.8777
Co 0.1268 0.3774 0.8777
Co 0.7489 0.2511 0.7532
Co 0.3774 0.1268 0.8777
Co 0.6226 0.8732 0.8777
Co 0.5000 0.5000 0.5000
Co 0.1303 0.3785 0.6294
Co 0.3785 0.1303 0.6294
Co 0.2511 0.7489 0.2468
Co 0.8697 0.6215 0.3706
Co 0.1303 0.3785 0.3706
Co 0.7489 0.2511 0.2468
Co 0.3785 0.1303 0.3706
Co 0.6215 0.8697 0.3706
Co 0.5000 0.5000 0.0000
Co 0.1268 0.3774 0.1223
Co 0.3774 0.1268 0.1223
Co 0.0000 0.0000 0.5000
Co 0.6215 0.8697 0.6294
Co 0.8697 0.6215 0.6294
Co 0.0000 0.0000 0.0000
Co 0.6226 0.8732 0.1223
Co 0.8732 0.6226 0.1223
Ir 0.2478 0.7522 0.5000
Ir 0.7522 0.2478 0.5000
Ir 0.0000 0.0000 0.7513
Ir 0.0000 0.0000 0.2487
Si 0.2470 0.7530 0.0000
Si 0.7530 0.2470 0.0000
Si 0.5000 0.5000 0.7561
Si 0.5000 0.5000 0.2439



Record 6
Entry from Alexandria: an optimized crystal structure of MgNiPb2 (PBEsol).

Output
Total magnetization, Bohr magnetons per cell: 0.000
Crystal system: monoclinic
E_tot, eV for the cell shown: -15.57
Space group: Cm

Cell lengths 3.2173, 4.3393, 6.8346 Å; angles 108.58, 103.61, 90.00 degrees
Positions (direct):
Mg 0.4306 0.4308 0.8612
Ni 0.7464 0.2463 0.4928
Pb 0.0608 0.0607 0.1216
Pb 0.2622 0.7622 0.5244



Record 7
Entry from Alexandria: an optimized crystal structure of Zr3Br (PBEsol).

Output
Total magnetization, Bohr magnetons per cell: 0.000
Energy relative to the lowest polymorph listed for this composition, meV/atom: 0.0
Crystal system: hexagonal
Space group: P-6m2
E_form (uncorrected), eV/atom: -0.311

Cell lengths 3.2806, 3.2806, 9.2207 Å; angles 90.00, 90.00, 120.00 degrees
Positions (direct):
Br 0.0000 0.0000 0.0000
Zr 0.0000 0.0000 0.5000
Zr 0.3333 0.6667 0.7693
Zr 0.3333 0.6667 0.2307



Record 8
Entry from Alexandria: an optimized crystal structure of BaO (PBEsol).

Output
Total magnetization, Bohr magnetons per cell: 0.000
Crystal system: hexagonal
Space group: P6_3/mmc
E_form (uncorrected), eV/atom: -2.492

Cell lengths 3.7827, 3.7827, 6.5810 Å; angles 90.00, 90.00, 120.00 degrees
Positions (direct):
Ba 0.6667 0.3333 0.7500
Ba 0.3333 0.6667 0.2500
O 0.0000 0.0000 0.0000
O 0.0000 0.0000 0.5000



Record 9
Entry from Alexandria: an optimized crystal structure of CsBi2Pt2 (PBEsol).

Output
Total magnetization, Bohr magnetons per cell: 0.000
Crystal system: tetragonal
E_tot, eV for the cell shown: -24.48
Space group: I4/mmm

Cell lengths 4.8179, 4.8179, 7.2887 Å; angles 109.30, 109.30, 90.00 degrees
Positions (direct):
Cs 0.0000 0.0000 0.0000
Bi 0.3473 0.3473 0.6946
Bi 0.6527 0.6527 0.3054
Pt 0.2500 0.7500 0.5000
Pt 0.7500 0.2500 0.5000



Record 10
Entry from Alexandria: an optimized crystal structure of TiCdReP2 (PBEsol).

Output
Total magnetization, Bohr magnetons per cell: 1.550
Crystal system: tetragonal
E_tot, eV for the cell shown: -23.93
Space group: P4/mmm

Cell lengths 4.6464, 4.6464, 4.8815 Å; angles 90.00, 90.00, 90.00 degrees
Positions (direct):
Re 0.5000 0.5000 0.5000
Ti 0.0000 0.0000 0.5000
P 0.0000 0.5000 0.0000
P 0.5000 0.0000 0.0000
Cd 0.0000 0.0000 0.0000



Record 11
Entry from Alexandria: an optimized crystal structure of Ta2AlSi (PBEsol).

Output
Total magnetization, Bohr magnetons per cell: 0.000
Energy relative to the lowest polymorph listed for this composition, meV/atom: 19.8
Crystal system: monoclinic
Space group: C2/m
E_form (uncorrected), eV/atom: -0.225

Cell lengths 2.8218, 4.9470, 4.9470 Å; angles 110.48, 97.66, 97.66 degrees
Positions (direct):
Si 0.5000 0.0000 0.0000
Al 0.5000 0.5000 0.5000
Ta 0.0000 0.5000 0.0000
Ta 0.0000 0.0000 0.5000



Record 12
Entry from Alexandria: an optimized crystal structure of Te2HAu (PBEsol).

Output
Total magnetization, Bohr magnetons per cell: 0.000
Energy relative to the lowest polymorph listed for this composition, meV/atom: 305.4
Crystal system: cubic
Space group: Fm-3m

Cell lengths 4.7839, 4.7839, 4.7839 Å; angles 60.00, 60.00, 60.00 degrees
Positions (direct):
H 0.0000 0.0000 0.0000
Te 0.2500 0.2500 0.2500
Te 0.7500 0.7500 0.7500
Au 0.5000 0.5000 0.5000



Among the records above, which one has the highest total magnetization? Co6SiIr